The following is a PBEsol calculation of an optimized crystal structure of MoOsRu2, from Alexandria.

The structure belongs to space group P4mm (No. 99); the cell edges are 2.7032, 2.7032 and 7.6686 Å and the angles 90.00°, 90.00° and 90.00°. Symmetry generates all atoms from Mo at (0.0000, 0.0000, 0.0000), Os at (0.5000, 0.5000, 0.2659), Ru at (0.0000, 0.0000, 0.5038) and Ru at (0.5000, 0.5000, 0.7519).

The calculation puts the spin magnetization at 0.00 μB/f.u. The density of states at the Fermi level comes out at 3.69 states/eV/f.u. Its energy above the most stable polymorph in this dataset is 0.0982 eV per atom.